(1)
CuW2Au | GGA-PBE | relaxed

Output
Total DFT energy (no corrections), eV for the cell shown: -32.09
DFT formation energy, meV/atom: 298

Unit cell a=3.2793 b=3.2793 c=5.8453 alpha=90.00 beta=90.00 gamma=90.00
Positions (direct):
1 Cu 0.0000 0.0000 0.0000
2 W 0.0000 0.0000 0.4795
3 W 0.5000 0.5000 0.2516
4 Au 0.5000 0.5000 0.7739



(2)
Li2ScW | GGA-PBE | relaxed

Output
Total DFT energy (no corrections), eV for the cell shown: -22.00
DFT formation energy, meV/atom: 279

Unit cell a=2.7659 b=2.7659 c=9.7149 alpha=90.00 beta=90.00 gamma=90.00
Positions (direct):
1 Li 0.0000 0.0000 0.0000
2 Li 0.5000 0.5000 0.2599
3 Sc 0.0000 0.0000 0.5393
4 W 0.5000 0.5000 0.7682